# 1
Entry from the Alexandria database: a geometry-optimized CaHgPd2 structure (PBE-GGA). Values from VASP.

Summary:
energy relative to the elements: -231 meV/atom

```
&SYSTEM
  ibrav = 0, nat = 8, ntyp = 3
/
ATOMIC_SPECIES
Ca 40.08 Ca.upf
Pd 106.42 Pd.upf
Hg 200.59 Hg.upf
ATOMIC_POSITIONS crystal
Ca 0.250 0.750 0.500
Ca 0.500 0.500 0.000
Pd 0.875 0.902 0.750
Pd 0.375 0.348 0.750
Hg 0.000 0.000 0.000
Hg 0.750 0.250 0.500
Pd 0.098 0.625 0.250
Pd 0.652 0.125 0.250
CELL_PARAMETERS angstrom
4.297 0.000 0.000
0.000 4.297 0.000
2.149 2.149 9.461
```

***

# 2
Entry from the Alexandria database: a geometry-optimized MnGa2Ag structure (PBE-GGA). Values from VASP.

Summary:
energy relative to the elements: 19 meV/atom

```
&SYSTEM
  ibrav = 0, nat = 4, ntyp = 3
/
ATOMIC_SPECIES
Ga 69.72 Ga.upf
Mn 54.94 Mn.upf
Ag 107.87 Ag.upf
ATOMIC_POSITIONS crystal
Ga 0.256 0.256 0.231
Ga 0.744 0.744 0.769
Mn 0.000 0.000 0.000
Ag 0.500 0.500 0.500
CELL_PARAMETERS angstrom
2.890 0.000 0.000
1.445 2.503 0.000
1.445 0.834 8.706
```

***

# 3
Entry from the Alexandria database: a geometry-optimized Th2ZnBi structure (PBE-GGA). Values from VASP.

Summary:
energy relative to the elements: -235 meV/atom

```
&SYSTEM
  ibrav = 0, nat = 4, ntyp = 3
/
ATOMIC_SPECIES
Bi 208.98 Bi.upf
Zn 65.41 Zn.upf
Th 232.04 Th.upf
ATOMIC_POSITIONS crystal
Bi 0.500 0.500 0.500
Zn 0.000 0.000 0.000
Th 0.743 0.743 0.770
Th 0.257 0.257 0.230
CELL_PARAMETERS angstrom
-2.872 1.160 3.028
-4.244 -0.304 -0.811
-2.381 -6.864 3.469
```

***

# 4
Entry from the Alexandria database: a geometry-optimized PmThHg2 structure (PBE-GGA). Values from VASP.

Summary:
energy relative to the elements: -310 meV/atom

```
&SYSTEM
  ibrav = 0, nat = 4, ntyp = 3
/
ATOMIC_SPECIES
Hg 200.59 Hg.upf
Pm 145.00 Pm.upf
Th 232.04 Th.upf
ATOMIC_POSITIONS crystal
Hg 0.250 0.250 0.250
Pm 0.500 0.500 0.500
Th 0.000 0.000 0.000
Hg 0.750 0.750 0.750
CELL_PARAMETERS angstrom
-3.758 3.123 2.311
-5.237 -1.229 -0.534
-2.794 -1.830 4.251
```

***

# 5
Entry from the Alexandria database: a geometry-optimized Sb2CF structure (PBE-GGA). Values from VASP.

Summary:
E_form (uncorrected): 246 meV per atom

```
&SYSTEM
  ibrav = 0, nat = 8, ntyp = 3
/
ATOMIC_SPECIES
Sb 121.76 Sb.upf
F 19.00 F.upf
C 12.01 C.upf
ATOMIC_POSITIONS crystal
Sb 0.375 0.421 0.750
Sb 0.171 0.625 0.250
F 0.000 0.000 0.000
F 0.750 0.250 0.500
Sb 0.579 0.125 0.250
Sb 0.875 0.829 0.750
C 0.500 0.500 0.000
C 0.250 0.750 0.500
CELL_PARAMETERS angstrom
-1.209 2.081 5.387
-5.358 -2.457 -0.254
-1.498 -4.288 4.551
```

***

# 6
Entry from the Alexandria database: a geometry-optimized Ac3PuSi4 structure (PBE-GGA). Values from VASP.

Summary:
E_form (uncorrected): -379 meV per atom

```
&SYSTEM
  ibrav = 0, nat = 8, ntyp = 3
/
ATOMIC_SPECIES
Ac 227.00 Ac.upf
Si 28.09 Si.upf
Pu 244.00 Pu.upf
ATOMIC_POSITIONS crystal
Ac 0.190 0.190 0.379
Ac 0.000 0.500 0.000
Si 0.375 0.191 0.750
Si 0.375 0.558 0.750
Si 0.625 0.442 0.250
Si 0.625 0.809 0.250
Pu 0.500 0.000 0.000
Ac 0.810 0.810 0.621
CELL_PARAMETERS angstrom
4.621 0.000 0.000
0.000 6.405 -0.737
-2.311 -2.264 8.533
```

***

Number 1: M_tot 0.0 μB per cell. Number 2: M_tot 2.8 μB per cell. Number 3: M_tot 0.0 μB per cell. Number 4: M_tot 0.8 μB per cell. Number 5: M_tot 0.0 μB per cell. Number 6: M_tot 6.2 μB per cell.